No. 1
A plane-wave DFT calculation with PBE was carried out for an optimized crystal structure of NiSnB3.

calculated formation energy = 2.507 eV per atom
VASP energy = -3.456 eV per atom
M_tot = 0.0 μB/cell
ΔE to the lowest computed polymorph = 1372 meV per atom

Unit cell a=4.4323 b=4.4323 c=4.4323 alpha=90.00 beta=90.00 gamma=90.00
Last column: nearest neighbours and their distance in Å.
Space group Pm-3m (No. 221)
Inequivalent atoms, fractional coordinates:
Ni1 0.0000 0.0000 0.0000 x1  12 B 3.13
Sn1 0.5000 0.5000 0.5000 x1  6 B 2.22
B1 0.0000 0.5000 0.5000 x3  2 Sn 2.22



No. 2
A plane-wave DFT calculation with PBE was carried out for an optimized crystal structure of Pr2ScTl.

calculated formation energy = -0.160 eV per atom
VASP energy = -4.724 eV per atom
M_tot = 0.0 μB/cell
ΔE to the lowest computed polymorph = 0 meV per atom

Unit cell a=6.7513 b=5.1964 c=7.0620 alpha=90.00 beta=104.20 gamma=90.00
Last column: nearest neighbours and their distance in Å.
Space group P2_1/m (No. 11)
Inequivalent atoms, fractional coordinates:
Pr1 0.1589 0.2500 0.4151 x2  4 Tl 3.45-3.50, 3 Sc 3.46-3.49, 6 Pr 3.51-3.81
Pr2 0.1619 0.2500 0.9181 x2  4 Sc 3.44-3.58, 3 Tl 3.44-3.53, 6 Pr 3.51-3.81
Sc1 0.3854 0.7500 0.2225 x2  2 Tl 3.03
Tl1 0.3758 0.7500 0.7173 x2  2 Sc 3.03



No. 3
A plane-wave DFT calculation with PBE was carried out for an optimized crystal structure of LiPm2TaS6.

VASP energy = -6.307 eV per atom
M_tot = 0.0 μB/cell

Unit cell a=6.7766 b=6.7766 c=17.4844 alpha=90.00 beta=90.00 gamma=120.00
Last column: nearest neighbours and their distance in Å.
Space group R3 (No. 146, hexagonal axes)
Inequivalent atoms, fractional coordinates:
Li1 0.0000 0.0000 0.0000 x3  6 S 2.53-2.79
Pm1 0.0000 0.0000 0.2828 x3  6 S 2.83
Pm2 0.0000 0.0000 0.7858 x3  6 S 2.76-2.87
Ta1 0.0000 0.0000 0.4886 x3  6 S 2.42-2.52
S1 0.0073 0.3986 0.2296 x9  1 Ta 2.42
S2 0.0622 0.7026 0.0653 x9  1 Ta 2.52, 1 Li 2.53, 1 Pm 2.76